# 1
A plane-wave DFT calculation with GGA-PBE was carried out for an optimized crystal structure of Sr12Rh3N5.

## Properties
As for the space group: Ia-3d (230). Its raw total energy is -4.52 eV per atom. Its density of states at the Fermi level is 0.07 states/eV/f.u.

CIF file:
```
data_Sr12Rh3N5
_symmetry_space_group_name_H-M 'P 1'
_symmetry_Int_Tables_number 1
_cell_length_a 14.187
_cell_length_b 14.187
_cell_length_c 14.187
_cell_angle_alpha 109.47
_cell_angle_beta 109.47
_cell_angle_gamma 109.47
loop_
_symmetry_equiv_pos_as_xyz
'x,y,z'
loop_
_atom_site_label
_atom_site_type_symbol
_atom_site_fract_x
_atom_site_fract_y
_atom_site_fract_z
Sr1 Sr 0.320 0.794 0.418
Sr2 Sr 0.206 0.526 0.624
Sr3 Sr 0.680 0.206 0.582
Sr4 Sr 0.876 0.582 0.902
Sr5 Sr 0.474 0.680 0.098
Sr6 Sr 0.794 0.320 0.918
Sr7 Sr 0.124 0.418 0.098
Sr8 Sr 0.402 0.026 0.320
Sr9 Sr 0.582 0.876 0.402
Sr10 Sr 0.294 0.418 0.820
Sr11 Sr 0.526 0.320 0.902
Sr12 Sr 0.206 0.680 0.082
Sr13 Sr 0.418 0.294 0.320
Sr14 Sr 0.680 0.474 0.598
Sr15 Sr 0.918 0.820 0.794
Sr16 Sr 0.082 0.180 0.206
Sr17 Sr 0.624 0.598 0.918
Sr18 Sr 0.876 0.294 0.474
Sr19 Sr 0.526 0.206 0.124
Sr20 Sr 0.180 0.098 0.974
Sr21 Sr 0.376 0.974 0.794
Sr22 Sr 0.098 0.918 0.124
Sr23 Sr 0.376 0.402 0.082
Sr24 Sr 0.974 0.376 0.294
Sr25 Sr 0.598 0.624 0.418
Sr26 Sr 0.582 0.706 0.680
Sr27 Sr 0.026 0.402 0.820
Sr28 Sr 0.902 0.820 0.526
Sr29 Sr 0.180 0.082 0.706
Sr30 Sr 0.598 0.974 0.680
Sr31 Sr 0.402 0.376 0.582
Sr32 Sr 0.918 0.098 0.624
Sr33 Sr 0.706 0.582 0.180
Sr34 Sr 0.974 0.598 0.180
Sr35 Sr 0.820 0.918 0.294
Sr36 Sr 0.820 0.902 0.026
Sr37 Sr 0.706 0.124 0.026
Sr38 Sr 0.026 0.624 0.706
Sr39 Sr 0.320 0.526 0.402
Sr40 Sr 0.474 0.794 0.876
Sr41 Sr 0.624 0.026 0.206
Sr42 Sr 0.098 0.180 0.474
Sr43 Sr 0.082 0.902 0.376
Sr44 Sr 0.418 0.124 0.598
Sr45 Sr 0.902 0.082 0.876
Sr46 Sr 0.124 0.706 0.526
Sr47 Sr 0.794 0.474 0.376
Sr48 Sr 0.294 0.876 0.974
N1 N 0.375 0.125 0.750
N2 N 0.750 0.125 0.875
N3 N 0.750 0.625 0.375
N4 N 0.625 0.750 0.875
N5 N 0.875 0.625 0.750
N6 N 0.500 0.500 0.000
N7 N 0.500 0.000 0.500
N8 N 0.500 0.000 0.000
N9 N 0.875 0.250 0.625
N10 N 0.000 0.000 0.000
N11 N 0.000 0.500 0.000
N12 N 0.000 0.500 0.500
N13 N 0.500 0.500 0.500
N14 N 0.000 0.000 0.500
N15 N 0.625 0.875 0.250
N16 N 0.125 0.750 0.375
N17 N 0.250 0.375 0.625
N18 N 0.375 0.250 0.125
N19 N 0.125 0.375 0.250
N20 N 0.250 0.875 0.125
Rh1 Rh 0.250 0.625 0.875
Rh2 Rh 0.625 0.250 0.375
Rh3 Rh 0.750 0.375 0.125
Rh4 Rh 0.250 0.125 0.375
Rh5 Rh 0.375 0.625 0.250
Rh6 Rh 0.625 0.375 0.750
Rh7 Rh 0.125 0.875 0.750
Rh8 Rh 0.375 0.750 0.625
Rh9 Rh 0.875 0.750 0.125
Rh10 Rh 0.125 0.250 0.875
Rh11 Rh 0.750 0.875 0.625
Rh12 Rh 0.875 0.125 0.250
```

---

# 2
A plane-wave DFT calculation with GGA-PBE was carried out for an optimized crystal structure of La4YTm6.

## Properties
As for the space group: I-42m (121). Its raw total energy is -4.52 eV per atom. Its density of states at the Fermi level is 14.81 states/eV/f.u.

CIF file:
```
data_La4YTm6
_symmetry_space_group_name_H-M 'P 1'
_symmetry_Int_Tables_number 1
_cell_length_a 9.735
_cell_length_b 9.735
_cell_length_c 9.735
_cell_angle_alpha 58.39
_cell_angle_beta 139.65
_cell_angle_gamma 139.65
loop_
_symmetry_equiv_pos_as_xyz
'x,y,z'
loop_
_atom_site_label
_atom_site_type_symbol
_atom_site_fract_x
_atom_site_fract_y
_atom_site_fract_z
Tm1 Tm 0.500 0.500 0.000
Tm2 Tm 0.500 0.000 0.500
Tm3 Tm 0.000 0.443 0.794
Tm4 Tm 0.649 0.206 0.206
Tm5 Tm 0.000 0.794 0.443
Tm6 Tm 0.351 0.557 0.557
Y1 Y 0.000 0.000 0.000
La1 La 0.621 0.988 0.988
La2 La 0.000 0.012 0.633
La3 La 0.379 0.367 0.367
La4 La 0.000 0.633 0.012
```